Record 1
Density functional theory data (PBE) for a geometry-optimized Zn5Ru structure.

## Properties
For the calculated formation energy, the calculation gives 0.018 eV/atom.

Cell: 3.2220 3.2220 8.4574 Å, 90.00 90.00 90.00°
Space group P4/mmm (No. 123)
Inequivalent atoms, fractional coordinates:
Zn  0.0000  0.0000  0.0000 (multiplicity 1)
Zn  0.0000  0.0000  0.3437 (multiplicity 2)
Zn  0.5000  0.5000  0.1759 (multiplicity 2)
Ru  0.5000  0.5000  0.5000 (multiplicity 1)

---

Record 2
Density functional theory data (PBE) for a geometry-optimized Zn5Ru3 structure.

## Properties
For the calculated formation energy, the calculation gives 0.109 eV/atom.

Cell: 7.4786 7.4786 4.8469 Å, 90.00 90.00 120.00°
Space group P6_3/mcm (No. 193)
Inequivalent atoms, fractional coordinates:
Zn  0.0000  0.2350  0.2500 (multiplicity 6)
Zn  0.3333  0.6667  0.0000 (multiplicity 4)
Ru  0.0000  0.3965  0.7500 (multiplicity 6)

---

Record 3
Density functional theory data (PBE) for a geometry-optimized Zn5Ru3 structure.

## Properties
For the calculated formation energy, the calculation gives 0.008 eV/atom.

Cell: 7.5566 7.6883 3.8638 Å, 90.00 90.00 90.00°
Space group Cmmm (No. 65)
Inequivalent atoms, fractional coordinates:
Zn  0.0000  0.0000  0.0000 (multiplicity 2)
Zn  0.2383  0.5000  0.5000 (multiplicity 4)
Zn  0.2500  0.2500  0.0000 (multiplicity 4)
Ru  0.0000  0.2338  0.5000 (multiplicity 4)
Ru  0.0000  0.5000  0.0000 (multiplicity 2)

---

Record 4
Density functional theory data (PBE) for a geometry-optimized ZnRu structure.

## Properties
For the calculated formation energy, the calculation gives 0.083 eV/atom.

Cell: 8.5532 2.7949 6.2826 Å, 90.00 128.44 90.00°
Space group C2/m (No. 12)
Inequivalent atoms, fractional coordinates:
Zn  0.0794  0.0000  0.3729 (multiplicity 4)
Ru  0.1789  0.5000  0.0931 (multiplicity 4)

---

Record 5
Density functional theory data (PBE) for a geometry-optimized Zn3Ru structure.

## Properties
For the calculated formation energy, the calculation gives -0.075 eV/atom.

Cell: 3.6908 3.6908 8.2556 Å, 90.00 90.00 90.00°
Space group I4/mmm (No. 139)
Inequivalent atoms, fractional coordinates:
Zn  0.0000  0.0000  0.0000 (multiplicity 2)
Zn  0.0000  0.5000  0.2500 (multiplicity 4)
Ru  0.0000  0.0000  0.5000 (multiplicity 2)

---

Record 6
Density functional theory data (PBE) for a geometry-optimized Zn2Ru structure.

## Properties
For the calculated formation energy, the calculation gives 0.007 eV/atom.

Cell: 3.2754 12.5728 4.0743 Å, 90.00 90.00 90.00°
Space group Cmcm (No. 63)
Inequivalent atoms, fractional coordinates:
Zn  0.0000  0.0806  0.2500 (multiplicity 4)
Zn  0.0000  0.2501  0.7500 (multiplicity 4)
Ru  0.0000  0.4146  0.2500 (multiplicity 4)

---

Record 7
Density functional theory data (PBE) for a geometry-optimized ZnRu structure.

## Properties
For the calculated formation energy, the calculation gives -0.048 eV/atom.

Cell: 2.8450 2.8450 6.9400 Å, 90.00 90.00 90.00°
Space group P4/nmm (No. 129, origin choice 2)
Inequivalent atoms, fractional coordinates:
Zn  0.2500  0.2500  0.1284 (multiplicity 2)
Ru  0.2500  0.2500  0.6194 (multiplicity 2)

---

Record 8
Density functional theory data (PBE) for a geometry-optimized Zn5Ru structure.

## Properties
For the calculated formation energy, the calculation gives -0.026 eV/atom.

Cell: 10.0162 2.7712 6.4943 Å, 90.00 105.56 90.00°
Space group Cm (No. 8)
Inequivalent atoms, fractional coordinates:
Zn  0.0000  0.0000  0.0000 (multiplicity 2)
Zn  0.0539  0.0000  0.6158 (multiplicity 2)
Zn  0.1691  0.5000  0.3388 (multiplicity 2)
Zn  0.2280  0.5000  0.9374 (multiplicity 2)
Zn  0.3872  0.0000  0.2819 (multiplicity 2)
Ru  0.3324  0.0000  0.6622 (multiplicity 2)

---

Record 9
Density functional theory data (PBE) for a geometry-optimized Zn2Ru structure.

## Properties
For the calculated formation energy, the calculation gives 0.002 eV/atom.

Cell: 9.9547 2.8321 6.2219 Å, 90.00 105.08 90.00°
Space group C2/m (No. 12)
Inequivalent atoms, fractional coordinates:
Zn  0.1364  0.0000  0.0280 (multiplicity 4)
Zn  0.1913  0.0000  0.6324 (multiplicity 4)
Ru  0.0272  0.5000  0.3051 (multiplicity 4)

---

Record 10
Density functional theory data (PBE) for a geometry-optimized Zn3Ru structure.

## Properties
For the calculated formation energy, the calculation gives 0.008 eV/atom.

Cell: 8.5587 8.5587 2.7130 Å, 90.00 90.00 120.00°
Space group R-3m (No. 166, hexagonal axes)
Inequivalent atoms, fractional coordinates:
Zn  0.0000  0.5000  0.0000 (multiplicity 9)
Ru  0.0000  0.0000  0.0000 (multiplicity 3)

---

Record 11
Density functional theory data (PBE) for a geometry-optimized Zr2ZnRu structure.

## Properties
For the calculated formation energy, the calculation gives -0.359 eV/atom.

Cell: 3.2978 4.3728 5.4052 Å, 90.00 107.15 90.00°
Space group Pm (No. 6)
Inequivalent atoms, fractional coordinates:
Zr  0.0000  0.0000  0.0000 (multiplicity 1)
Zr  0.2919  0.5000  0.5997 (multiplicity 1)
Zn  0.7188  0.0000  0.4495 (multiplicity 1)
Ru  0.5568  0.5000  0.1154 (multiplicity 1)

---

Record 12
Density functional theory data (PBE) for a geometry-optimized Zr4ZnRu3 structure.

## Properties
For the calculated formation energy, the calculation gives -0.531 eV/atom.

Cell: 3.2829 4.6608 9.3494 Å, 90.00 90.00 90.00°
Space group Pmmm (No. 47)
Inequivalent atoms, fractional coordinates:
Zr  0.0000  0.0000  0.0000 (multiplicity 1)
Zr  0.0000  0.0000  0.5000 (multiplicity 1)
Zr  0.0000  0.5000  0.2456 (multiplicity 2)
Zn  0.5000  0.5000  0.5000 (multiplicity 1)
Ru  0.5000  0.0000  0.2495 (multiplicity 2)
Ru  0.5000  0.5000  0.0000 (multiplicity 1)